{
  "formula": "Li2ThGe2",
  "functional": "PBE",
  "state": "relaxed",
  "cell": [[-2.534, -3.292, 0.276], [2.995, -2.143, 1.941], [-2.110, 4.580, 3.849]],
  "species": ["Li", "Li", "Th", "Ge", "Ge"],
  "frac_coords": [[0.750, 0.250, 0.500], [0.250, 0.750, 0.500], [0.000, 0.000, 0.000], [0.612, 0.612, 0.223], [0.388, 0.388, 0.777]],
  "space_group": "I4/mmm (139)",
  "e_form_ev_per_atom": -0.537
}